(1)
DFT (PBE) results for a relaxed Sc2Ga2Si crystal.

Cell: 6.9588 6.9588 4.2132 Å, 90.00 90.00 90.00°
Sites, in units of the cell vectors:
1 Sc 0.1622 0.3378 0.0000
2 Sc 0.3378 0.8378 0.0000
3 Sc 0.6622 0.1622 0.0000
4 Sc 0.8378 0.6622 0.0000
5 Ga 0.1420 0.6420 0.5000
6 Ga 0.3580 0.1420 0.5000
7 Ga 0.6420 0.8580 0.5000
8 Ga 0.8580 0.3580 0.5000
9 Si 0.0000 0.0000 0.0000
10 Si 0.5000 0.5000 0.0000

Computed properties:
crystal system: tetragonal
raw formation energy: -0.290 eV per atom
energy above the most stable polymorph in this dataset: 241 meV per atom
DOS at the Fermi energy: 3.38 states/eV/f.u.


(2)
DFT (PBE) results for a relaxed Sc2GaSi crystal.

Cell: 4.3353 4.3353 3.8884 Å, 90.00 90.00 90.00°
Sites, in units of the cell vectors:
1 Sc 0.0000 0.5000 0.0000
2 Sc 0.5000 0.0000 0.0000
3 Ga 0.0000 0.0000 0.5000
4 Si 0.5000 0.5000 0.5000

Computed properties:
crystal system: tetragonal
raw formation energy: -0.559 eV per atom
DOS at the Fermi energy: 2.86 states/eV/f.u.


(3)
DFT (PBE) results for a relaxed ScGaSi crystal.

Cell: 5.5257 5.5257 5.5257 Å, 137.92 108.55 86.54°
Sites, in units of the cell vectors:
1 Sc 0.0000 0.0000 0.0000
2 Sc 0.6403 0.1403 0.5000
3 Ga 0.2152 0.4168 0.7984
4 Ga 0.6184 0.4168 0.2016
5 Si 0.0218 0.7211 0.3008
6 Si 0.4203 0.7211 0.6992

Computed properties:
crystal system: orthorhombic
raw formation energy: -0.514 eV per atom
DOS at the Fermi energy: 1.03 states/eV/f.u.


(4)
DFT (PBE) results for a relaxed ScGa2Si2 crystal.

Cell: 6.9036 6.9036 6.9036 Å, 148.23 148.23 45.55°
Sites, in units of the cell vectors:
1 Sc 0.0000 0.0000 0.0000
2 Ga 0.2500 0.7500 0.5000
3 Ga 0.7500 0.2500 0.5000
4 Si 0.4080 0.4080 0.0000
5 Si 0.5920 0.5920 0.0000

Computed properties:
crystal system: tetragonal
raw formation energy: -0.078 eV per atom
energy above the most stable polymorph in this dataset: 48 meV per atom
DOS at the Fermi energy: 2.46 states/eV/f.u.


(5)
DFT (PBE) results for a relaxed ScGa3Si crystal.

Cell: 5.1550 5.1550 5.1550 Å, 90.00 90.00 90.00°
Sites, in units of the cell vectors:
1 Sc 0.0000 0.0000 0.0000
2 Ga 0.0000 0.0000 0.5000
3 Ga 0.0000 0.5000 0.0000
4 Ga 0.5000 0.0000 0.0000
5 Si 0.5000 0.5000 0.5000

Computed properties:
crystal system: cubic
raw formation energy: 0.856 eV per atom
energy above the most stable polymorph in this dataset: 555 meV per atom
DOS at the Fermi energy: 4.32 states/eV/f.u.


(6)
DFT (PBE) results for a relaxed Sc2GaSi crystal.

Cell: 9.6615 9.6615 9.6615 Å, 19.64 19.64 19.64°
Sites, in units of the cell vectors:
1 Sc 0.0991 0.0991 0.0991
2 Sc 0.9009 0.9009 0.9009
3 Ga 0.0000 0.0000 0.0000
4 Si 0.5000 0.5000 0.5000

Computed properties:
crystal system: trigonal
raw formation energy: -0.067 eV per atom
DOS at the Fermi energy: 2.64 states/eV/f.u.


(7)
DFT (PBE) results for a relaxed ScGa2Si2 crystal.

Cell: 7.1092 7.1092 3.4454 Å, 90.00 90.00 90.00°
Sites, in units of the cell vectors:
1 Sc 0.0000 0.0000 0.0000
2 Sc 0.5000 0.5000 0.0000
3 Ga 0.1293 0.3707 0.0000
4 Ga 0.3707 0.8707 0.0000
5 Ga 0.6293 0.1293 0.0000
6 Ga 0.8707 0.6293 0.0000
7 Si 0.1663 0.6663 0.5000
8 Si 0.3337 0.1663 0.5000
9 Si 0.6663 0.8337 0.5000
10 Si 0.8337 0.3337 0.5000

Computed properties:
crystal system: tetragonal
raw formation energy: -0.029 eV per atom
energy above the most stable polymorph in this dataset: 97 meV per atom
DOS at the Fermi energy: 1.85 states/eV/f.u.


(8)
DFT (PBE) results for a relaxed ScGa2Si crystal.

Cell: 6.1626 6.1626 6.1626 Å, 44.98 44.98 44.98°
Sites, in units of the cell vectors:
1 Sc 0.0000 0.0000 0.0000
2 Ga 0.3589 0.3589 0.3589
3 Ga 0.6411 0.6411 0.6411
4 Si 0.5000 0.5000 0.5000

Computed properties:
crystal system: trigonal
raw formation energy: 0.474 eV per atom
DOS at the Fermi energy: 3.18 states/eV/f.u.